[1]
Here is a relaxed Er12Cd6Cu crystal from Alexandria. Energies are from PBE.

Cell lengths 11.1324, 11.1324, 14.1465 Å; angles 90.00, 90.00, 120.00 degrees
Space group R-3 (No. 148, hexagonal axes)
Unique sites:
1 Er 0.0269 0.1847 0.3265 (multiplicity 18)
2 Er 0.0606 0.8516 0.9064 (multiplicity 18)
3 Cd 0.0330 0.4367 0.2046 (multiplicity 18)
4 Cu 0.0000 0.0000 0.5000 (multiplicity 3)

Density of states at the Fermi level, states/eV/f.u.: 22.8
Energy relative to the elements, eV/f.u.: -1.5
Electronic total energy, eV per atom: -3.47


[2]
Here is a relaxed TbCu3Ge crystal from Alexandria. Energies are from PBE.

Cell lengths 4.507, 5.986, 6.009 Å; angles 90.00, 90.00, 90.00 degrees
Space group Pmmn (No. 59, origin choice 2)
Unique sites:
1 Tb 0.250 0.250 0.237 (multiplicity 2)
2 Cu 0.250 0.051 0.743 (multiplicity 4)
3 Cu 0.250 0.750 0.050 (multiplicity 2)
4 Ge 0.250 0.750 0.437 (multiplicity 2)

Density of states at the Fermi level, states/eV/f.u.: 1.6
Energy relative to the elements, eV/f.u.: -1.3
Electronic total energy, eV per atom: -4.57


[3]
Here is a relaxed HfTe2Cl5 crystal from Alexandria. Energies are from PBE.

Cell lengths 7.190, 7.303, 8.337 Å; angles 94.00, 112.30, 115.13 degrees
Space group P1 (No. 1)
Unique sites:
1 Hf 0.000 0.000 0.000 (multiplicity 1)
2 Te 0.588 0.508 0.492 (multiplicity 1)
3 Te 0.884 0.464 0.419 (multiplicity 1)
4 Cl 0.015 0.329 0.015 (multiplicity 1)
5 Cl 0.183 0.081 0.331 (multiplicity 1)
6 Cl 0.297 0.965 0.977 (multiplicity 1)
7 Cl 0.685 0.696 0.980 (multiplicity 1)
8 Cl 0.794 0.929 0.659 (multiplicity 1)

Formation energy (no corrections), meV/atom: -1105
Electronic total energy, eV per atom: -4.29


[4]
Here is a relaxed RuAuSe4 crystal from Alexandria. Energies are from PBE.

Cell lengths 7.936, 7.936, 7.936 Å; angles 90.00, 90.00, 90.00 degrees
Space group F-43m (No. 216)
Unique sites:
1 Ru 0.000 0.000 0.000 (multiplicity 4)
2 Au 0.250 0.250 0.250 (multiplicity 4)
3 Se 0.125 0.125 0.625 (multiplicity 16)

Density of states at the Fermi level, states/eV/f.u.: 7.5
Formation energy (no corrections), meV/atom: 1067
Electronic total energy, eV per atom: -3.35


[5]
Here is a relaxed TmTh5Sn4 crystal from Alexandria. Energies are from PBE.

Cell lengths 16.710, 5.481, 7.007 Å; angles 90.00, 91.20, 90.00 degrees
Space group C2/m (No. 12)
Unique sites:
1 Tm 0.000 0.000 0.000 (multiplicity 2)
2 Th 0.000 0.000 0.500 (multiplicity 2)
3 Th 0.165 0.500 0.501 (multiplicity 4)
4 Th 0.169 0.500 0.006 (multiplicity 4)
5 Sn 0.005 0.500 0.763 (multiplicity 4)
6 Sn 0.168 0.000 0.248 (multiplicity 4)

Density of states at the Fermi level, states/eV/f.u.: 10.6
Energy relative to the elements, eV/f.u.: -2.5
Electronic total energy, eV per atom: -6.00


[6]
Here is a relaxed FeCu2Tc crystal from Alexandria. Energies are from PBE.

Cell lengths 2.696, 4.269, 8.833 Å; angles 90.00, 90.00, 90.00 degrees
Space group Immm (No. 71)
Unique sites:
1 Fe 0.000 0.000 0.000 (multiplicity 2)
2 Cu 0.000 0.500 0.259 (multiplicity 4)
3 Tc 0.000 0.000 0.500 (multiplicity 2)

Density of states at the Fermi level, states/eV/f.u.: 4.9
Energy relative to the lowest polymorph listed for this composition, meV per atom: 146
Energy relative to the elements, eV/f.u.: 1.2
Electronic total energy, eV per atom: -6.46


[7]
Here is a relaxed CuSb2IrI crystal from Alexandria. Energies are from PBE.

Cell lengths 5.130, 5.130, 5.002 Å; angles 90.00, 90.00, 90.00 degrees
Space group P4/mmm (No. 123)
Unique sites:
1 Cu 0.000 0.000 0.000 (multiplicity 1)
2 Sb 0.000 0.500 0.500 (multiplicity 2)
3 Ir 0.000 0.000 0.500 (multiplicity 1)
4 I 0.500 0.500 0.000 (multiplicity 1)

Density of states at the Fermi level, states/eV/f.u.: 2.4
Energy relative to the lowest polymorph listed for this composition, meV per atom: 0
Formation energy (no corrections), meV/atom: 385
Electronic total energy, eV per atom: -4.17


[8]
Here is a relaxed LiTlSnPt crystal from Alexandria. Energies are from PBE.

Cell lengths 6.790, 6.790, 6.790 Å; angles 90.00, 90.00, 90.00 degrees
Space group F-43m (No. 216)
Unique sites:
1 Li 0.000 0.000 0.000 (multiplicity 4)
2 Tl 0.250 0.250 0.250 (multiplicity 4)
3 Sn 0.250 0.250 0.750 (multiplicity 4)
4 Pt 0.000 0.000 0.500 (multiplicity 4)

Density of states at the Fermi level, states/eV/f.u.: 2.2
Energy relative to the elements, eV/f.u.: -1.1
Electronic total energy, eV per atom: -3.86


[9]
Here is a relaxed PrZrNpN3 crystal from Alexandria. Energies are from PBE.

Cell lengths 7.016, 3.296, 8.557 Å; angles 90.00, 94.82, 90.00 degrees
Space group P2_1/m (No. 11)
Unique sites:
1 Pr 0.147 0.250 0.157 (multiplicity 2)
2 Zr 0.372 0.750 0.860 (multiplicity 2)
3 Np 0.124 0.250 0.559 (multiplicity 2)
4 N 0.138 0.250 0.851 (multiplicity 2)
5 N 0.309 0.750 0.609 (multiplicity 2)
6 N 0.407 0.750 0.122 (multiplicity 2)

Density of states at the Fermi level, states/eV/f.u.: 3.3
Formation energy (no corrections), meV/atom: -1076
Electronic total energy, eV per atom: -9.62


[10]
Here is a relaxed Tm2ZrSc crystal from Alexandria. Energies are from PBE.

Cell lengths 4.730, 4.730, 4.709 Å; angles 90.00, 90.00, 90.00 degrees
Space group P4/mmm (No. 123)
Unique sites:
1 Tm 0.000 0.500 0.000 (multiplicity 2)
2 Zr 0.000 0.000 0.500 (multiplicity 1)
3 Sc 0.500 0.500 0.500 (multiplicity 1)

Density of states at the Fermi level, states/eV/f.u.: 6.0
Energy relative to the lowest polymorph listed for this composition, meV per atom: 10
Energy relative to the elements, eV/f.u.: 0.3
Electronic total energy, eV per atom: -5.89


[11]
Here is a relaxed InGaMo2Rh crystal from Alexandria. Energies are from PBE.

Cell lengths 4.790, 4.790, 4.982 Å; angles 90.00, 90.00, 90.00 degrees
Space group P4/mmm (No. 123)
Unique sites:
1 In 0.000 0.000 0.000 (multiplicity 1)
2 Ga 0.500 0.500 0.000 (multiplicity 1)
3 Mo 0.000 0.500 0.500 (multiplicity 2)
4 Rh 0.000 0.000 0.500 (multiplicity 1)

Density of states at the Fermi level, states/eV/f.u.: 5.2
Energy relative to the elements, eV/f.u.: 6.1
Electronic total energy, eV per atom: -5.73


[12]
Here is a relaxed PmSm2Si crystal from Alexandria. Energies are from PBE.

Cell lengths 4.735, 4.735, 4.720 Å; angles 90.00, 90.00, 90.00 degrees
Space group P4/mmm (No. 123)
Unique sites:
1 Pm 0.000 0.000 0.000 (multiplicity 1)
2 Sm 0.000 0.500 0.500 (multiplicity 2)
3 Si 0.500 0.500 0.000 (multiplicity 1)

Density of states at the Fermi level, states/eV/f.u.: 3.8
Energy relative to the lowest polymorph listed for this composition, meV per atom: 115
Formation energy (no corrections), meV/atom: -256
Electronic total energy, eV per atom: -5.16